Entry 1:
## LiCO2 (GGA-PBE)

Data for a geometry-optimized LiCO2 structure.

Summary:
Formation energy from raw total energies: -28.643 kcal/mol of atoms
Space-group type: P2/m (10)
Density of states at the Fermi level: 0.0 states/eV/cell

Cell lengths 4.8178, 2.4737, 5.7832 Å; angles 90.00, 104.96, 90.00 degrees
Last column: nearest neighbours and their distance in Å.
Sites, in units of the cell vectors:
Li: 0.0000 0.0000 0.0000  6 O 2.00-2.19
Li: 0.0000 0.5000 0.5000  4 O 1.93
C: 0.4705 0.0000 0.8604  1 O 1.28
C: 0.5295 0.0000 0.1396  1 O 1.28
O: 0.2062 0.0000 0.7401  1 C 1.28
O: 0.3597 0.5000 0.1924  2 C 1.56
O: 0.6403 0.5000 0.8076  2 C 1.56
O: 0.7938 0.0000 0.2599  1 C 1.28

Entry 2:
## Li2OsCO (GGA-PBE)

Data for a geometry-optimized Li2OsCO structure.

Summary:
Formation energy from raw total energies: 7.121 kcal/mol of atoms
Space-group type: P4/mmm (123)
Density of states at the Fermi level: 2.5 states/eV/cell

Cell lengths 3.1245, 3.1245, 6.4236 Å; angles 90.00, 90.00, 90.00 degrees
Last column: nearest neighbours and their distance in Å.
Sites, in units of the cell vectors:
Li: 0.0000 0.5000 0.0000  2 O 1.56
Li: 0.5000 0.0000 0.0000  2 O 1.56
Os: 0.0000 0.0000 0.5000  4 C 2.21
C: 0.5000 0.5000 0.5000  4 Os 2.21
O: 0.5000 0.5000 0.0000  4 Li 1.56

Entry 3:
## LiPCO2 (GGA-PBE)

Data for a geometry-optimized LiPCO2 structure.

Summary:
Formation energy from raw total energies: 16.044 kcal/mol of atoms
Space-group type: P4/mmm (123)
Density of states at the Fermi level: 1.5 states/eV/cell
Relative energy among the computed polymorphs: 0 meV/atom

Cell lengths 3.9222, 3.9222, 3.4756 Å; angles 90.00, 90.00, 90.00 degrees
Last column: nearest neighbours and their distance in Å.
Sites, in units of the cell vectors:
Li: 0.0000 0.0000 0.0000  8 O 2.62, 4 P 2.77
P: 0.5000 0.5000 0.0000  2 C 1.74
C: 0.5000 0.5000 0.5000  2 P 1.74
O: 0.0000 0.5000 0.5000  2 C 1.96
O: 0.5000 0.0000 0.5000  2 C 1.96

Entry 4:
## LiPCO2 (GGA-PBE)

Data for a geometry-optimized LiPCO2 structure.

Summary:
Formation energy from raw total energies: 30.911 kcal/mol of atoms
Space-group type: P4/mmm (123)
Density of states at the Fermi level: 2.5 states/eV/cell
Relative energy among the computed polymorphs: 645 meV/atom

Cell lengths 3.2332, 3.2332, 5.0662 Å; angles 90.00, 90.00, 90.00 degrees
Last column: nearest neighbours and their distance in Å.
Sites, in units of the cell vectors:
Li: 0.0000 0.0000 0.0000  4 O 1.62
P: 0.0000 0.0000 0.5000  4 C 2.29, 2 Li 2.53
C: 0.5000 0.5000 0.5000  4 P 2.29
O: 0.0000 0.5000 0.0000  2 Li 1.62
O: 0.5000 0.0000 0.0000  2 Li 1.62

Entry 5:
## LiP2CO (GGA-PBE)

Data for a geometry-optimized LiP2CO structure.

Summary:
Formation energy from raw total energies: 20.281 kcal/mol of atoms
Space-group type: P4/mmm (123)
Density of states at the Fermi level: 2.6 states/eV/cell
Relative energy among the computed polymorphs: 0 meV/atom

Cell lengths 3.8748, 3.8748, 4.1431 Å; angles 90.00, 90.00, 90.00 degrees
Last column: nearest neighbours and their distance in Å.
Sites, in units of the cell vectors:
Li: 0.0000 0.0000 0.0000  4 O 2.74, 8 P 2.84
P: 0.0000 0.5000 0.5000  2 C 1.94
P: 0.5000 0.0000 0.5000  2 C 1.94
C: 0.5000 0.5000 0.5000  4 P 1.94, 2 O 2.07
O: 0.5000 0.5000 0.0000  2 C 2.07

Entry 6:
## LiP2CO (GGA-PBE)

Data for a geometry-optimized LiP2CO structure.

Summary:
Formation energy from raw total energies: 36.560 kcal/mol of atoms
Space-group type: P4/mmm (123)
Density of states at the Fermi level: 4.5 states/eV/cell
Relative energy among the computed polymorphs: 706 meV/atom

Cell lengths 4.3752, 4.3752, 3.1846 Å; angles 90.00, 90.00, 90.00 degrees
Last column: nearest neighbours and their distance in Å.
Sites, in units of the cell vectors:
Li: 0.0000 0.0000 0.0000  2 O 1.59
P: 0.0000 0.5000 0.0000  2 Li 2.19
P: 0.5000 0.0000 0.0000  2 Li 2.19
C: 0.5000 0.5000 0.5000  8 P 2.71
O: 0.0000 0.0000 0.5000  2 Li 1.59

Entry 7:
## LiPrPCO7 (GGA-PBE)

Data for a geometry-optimized LiPrPCO7 structure.

Summary:
Formation energy from raw total energies: -51.194 kcal/mol of atoms
Space-group type: P2_1 (4)
Density of states at the Fermi level: 6.0 states/eV/cell

Cell lengths 4.7803, 7.1294, 9.5550 Å; angles 90.00, 101.77, 90.00 degrees
Last column: nearest neighbours and their distance in Å.
Sites, in units of the cell vectors:
Li: 0.0392 0.0000 0.2531  3 O 1.97-2.03
Li: 0.9608 0.5000 0.7469  3 O 1.97-2.03
Pr: 0.2571 0.5293 0.1704  7 O 2.35-2.63
Pr: 0.7429 0.0293 0.8296  7 O 2.35-2.63
P: 0.4076 0.0302 0.0823  4 O 1.54-1.57
P: 0.5924 0.5302 0.9177  4 O 1.54-1.57
C: 0.1493 0.1353 0.5573  3 O 1.27-1.29
C: 0.8507 0.6353 0.4427  3 O 1.27-1.29
O: 0.9996 0.1973 0.6459  1 C 1.29
O: 0.0004 0.6973 0.3541  1 C 1.29
O: 0.0574 0.1630 0.4240  1 C 1.28
O: 0.2599 0.0269 0.9197  1 P 1.57
O: 0.2681 0.5309 0.9167  1 P 1.55
O: 0.3120 0.2026 0.1585  1 P 1.54
O: 0.3193 0.8567 0.1602  1 P 1.55
O: 0.3834 0.0485 0.6029  1 C 1.27
O: 0.6166 0.5485 0.3971  1 C 1.27
O: 0.6807 0.3567 0.8398  1 P 1.55
O: 0.6880 0.7026 0.8415  1 P 1.54
O: 0.7319 0.0309 0.0833  1 P 1.55
O: 0.7401 0.5269 0.0803  1 P 1.57
O: 0.9426 0.6630 0.5760  1 C 1.28

Entry 8:
## Li2ScPCO7 (GGA-PBE)

Data for a geometry-optimized Li2ScPCO7 structure.

Summary:
Formation energy from raw total energies: -54.179 kcal/mol of atoms
Space-group type: P2_1/m (11)
Density of states at the Fermi level: 0.0 states/eV/cell

Cell lengths 4.9914, 6.5725, 8.8189 Å; angles 90.00, 93.42, 90.00 degrees
Last column: nearest neighbours and their distance in Å.
Sites, in units of the cell vectors:
Li: 0.2075 0.0047 0.3003  3 O 2.01-2.16
Li: 0.2075 0.4953 0.3003  3 O 2.01-2.16
Li: 0.7925 0.5047 0.6997  3 O 2.01-2.16
Li: 0.7925 0.9953 0.6997  3 O 2.01-2.16
Sc: 0.2255 0.7500 0.8599  6 O 2.06-2.26
Sc: 0.7745 0.2500 0.1401  6 O 2.06-2.26
P: 0.2705 0.2500 0.9141  4 O 1.54-1.56
P: 0.7295 0.7500 0.0859  4 O 1.54-1.56
C: 0.2568 0.7500 0.5644  3 O 1.27-1.32
C: 0.7432 0.2500 0.4356  3 O 1.27-1.32
O: 0.0221 0.7500 0.6243  1 C 1.31
O: 0.1641 0.0599 0.8280  1 P 1.54
O: 0.1641 0.4401 0.8280  1 P 1.54
O: 0.1805 0.2500 0.0808  1 P 1.56
O: 0.2829 0.7500 0.4222  1 C 1.27
O: 0.4163 0.7500 0.0740  1 P 1.56
O: 0.4646 0.7500 0.6644  1 C 1.32
O: 0.5354 0.2500 0.3356  1 C 1.32
O: 0.5837 0.2500 0.9260  1 P 1.56
O: 0.7171 0.2500 0.5778  1 C 1.27
O: 0.8195 0.7500 0.9192  1 P 1.56
O: 0.8359 0.5599 0.1720  1 P 1.54
O: 0.8359 0.9401 0.1720  1 P 1.54
O: 0.9779 0.2500 0.3757  1 C 1.31

Entry 9:
## LiSnPCO7 (GGA-PBE)

Data for a geometry-optimized LiSnPCO7 structure.

Summary:
Formation energy from raw total energies: -42.074 kcal/mol of atoms
Space-group type: P2_1 (4)
Density of states at the Fermi level: 0.0 states/eV/cell
Relative energy among the computed polymorphs: 0 meV/atom

Cell lengths 5.3367, 6.5194, 9.8248 Å; angles 90.00, 91.96, 90.00 degrees
Last column: nearest neighbours and their distance in Å.
Sites, in units of the cell vectors:
Li: 0.2419 0.0000 0.1112  3 O 1.90-1.96
Li: 0.7581 0.5000 0.8888  3 O 1.90-1.96
Sn: 0.2852 0.6363 0.6447  6 O 2.04-2.15
Sn: 0.7148 0.1363 0.3553  6 O 2.04-2.15
P: 0.2222 0.1365 0.5655  4 O 1.54-1.56
P: 0.7778 0.6365 0.4345  4 O 1.54-1.56
C: 0.2361 0.6828 0.9029  3 O 1.24-1.34
C: 0.7639 0.1828 0.0971  3 O 1.24-1.34
O: 0.0438 0.6452 0.8149  1 C 1.34
O: 0.0638 0.6393 0.4719  1 P 1.56
O: 0.2090 0.7423 0.0213  1 C 1.24
O: 0.2887 0.9498 0.6549  1 P 1.54
O: 0.2917 0.3233 0.6557  1 P 1.54
O: 0.3625 0.1353 0.4299  1 P 1.55
O: 0.4559 0.6529 0.8457  1 C 1.33
O: 0.5441 0.1529 0.1543  1 C 1.33
O: 0.6375 0.6353 0.5701  1 P 1.55
O: 0.7083 0.8233 0.3443  1 P 1.54
O: 0.7113 0.4498 0.3451  1 P 1.54
O: 0.7910 0.2423 0.9787  1 C 1.24
O: 0.9362 0.1393 0.5281  1 P 1.56
O: 0.9562 0.1452 0.1851  1 C 1.34

Entry 10:
## LiSnPCO7 (GGA-PBE)

Data for a geometry-optimized LiSnPCO7 structure.

Summary:
Formation energy from raw total energies: -41.997 kcal/mol of atoms
Space-group type: P2_1/m (11)
Density of states at the Fermi level: 0.0 states/eV/cell
Relative energy among the computed polymorphs: 3 meV/atom

Cell lengths 5.0981, 6.5502, 8.7058 Å; angles 90.00, 95.15, 90.00 degrees
Last column: nearest neighbours and their distance in Å.
Sites, in units of the cell vectors:
Li: 0.1634 0.2500 0.1023  4 O 1.97-2.15
Li: 0.8366 0.7500 0.8977  4 O 1.97-2.15
Sn: 0.2198 0.7500 0.3248  6 O 2.02-2.17
Sn: 0.7802 0.2500 0.6752  6 O 2.02-2.17
P: 0.2569 0.2500 0.4176  4 O 1.53-1.56
P: 0.7431 0.7500 0.5824  4 O 1.53-1.56
C: 0.3748 0.7500 0.0532  3 O 1.24-1.36
C: 0.6252 0.2500 0.9468  3 O 1.24-1.36
O: 0.1100 0.2500 0.5631  1 P 1.53
O: 0.1157 0.7500 0.0774  1 C 1.36
O: 0.1845 0.0667 0.3082  1 P 1.56
O: 0.1845 0.4333 0.3082  1 P 1.56
O: 0.4442 0.7500 0.5317  1 P 1.55
O: 0.4570 0.7500 0.9233  1 C 1.24
O: 0.4707 0.2500 0.8162  1 C 1.32
O: 0.5293 0.7500 0.1838  1 C 1.32
O: 0.5430 0.2500 0.0767  1 C 1.24
O: 0.5558 0.2500 0.4683  1 P 1.55
O: 0.8155 0.5667 0.6918  1 P 1.56
O: 0.8155 0.9333 0.6918  1 P 1.56
O: 0.8843 0.2500 0.9226  1 C 1.36
O: 0.8900 0.7500 0.4369  1 P 1.53

Entry 11:
## LiTiPCO7 (GGA-PBE)

Data for a geometry-optimized LiTiPCO7 structure.

Summary:
Formation energy from raw total energies: -51.371 kcal/mol of atoms
Space-group type: P2_1 (4)
Density of states at the Fermi level: 0.0 states/eV/cell
Relative energy among the computed polymorphs: 0 meV/atom

Cell lengths 5.7453, 6.3106, 8.6524 Å; angles 90.00, 93.71, 90.00 degrees
Last column: nearest neighbours and their distance in Å.
Sites, in units of the cell vectors:
Li: 0.2482 0.0000 0.1635  4 O 1.95-2.13
Li: 0.7518 0.5000 0.8365  4 O 1.95-2.13
Ti: 0.2883 0.6048 0.6609  6 O 1.92-2.03
Ti: 0.7117 0.1048 0.3391  6 O 1.92-2.03
P: 0.2372 0.1033 0.5377  4 O 1.54-1.55
P: 0.7628 0.6033 0.4623  4 O 1.54-1.55
C: 0.2420 0.6540 0.9407  3 O 1.23-1.34
C: 0.7580 0.1540 0.0593  3 O 1.23-1.34
O: 0.0266 0.6035 0.5111  1 P 1.55
O: 0.0690 0.6163 0.8326  1 C 1.34
O: 0.2150 0.7184 0.0726  1 C 1.23
O: 0.3004 0.3004 0.6371  1 P 1.54
O: 0.3010 0.9074 0.6378  1 P 1.54
O: 0.3739 0.0983 0.3892  1 P 1.55
O: 0.4439 0.6211 0.8780  1 C 1.33
O: 0.5561 0.1211 0.1220  1 C 1.33
O: 0.6261 0.5983 0.6108  1 P 1.55
O: 0.6990 0.4074 0.3622  1 P 1.54
O: 0.6996 0.8004 0.3629  1 P 1.54
O: 0.7850 0.2184 0.9274  1 C 1.23
O: 0.9310 0.1163 0.1674  1 C 1.34
O: 0.9734 0.1035 0.4889  1 P 1.55

Entry 12:
## LiTiPCO7 (GGA-PBE)

Data for a geometry-optimized LiTiPCO7 structure.

Summary:
Formation energy from raw total energies: -51.149 kcal/mol of atoms
Space-group type: P2_1/m (11)
Density of states at the Fermi level: 0.0 states/eV/cell
Relative energy among the computed polymorphs: 10 meV/atom

Cell lengths 5.1881, 6.4163, 8.4853 Å; angles 90.00, 97.61, 90.00 degrees
Last column: nearest neighbours and their distance in Å.
Sites, in units of the cell vectors:
Li: 0.1764 0.2500 0.0987  4 O 1.96-2.14
Li: 0.8236 0.7500 0.9013  4 O 1.96-2.14
Ti: 0.2201 0.7500 0.3208  6 O 1.88-2.05
Ti: 0.7799 0.2500 0.6792  6 O 1.88-2.05
P: 0.2369 0.2500 0.4202  4 O 1.53-1.55
P: 0.7631 0.7500 0.5798  4 O 1.53-1.55
C: 0.3741 0.7500 0.0576  3 O 1.24-1.35
C: 0.6259 0.2500 0.9424  3 O 1.24-1.35
O: 0.0578 0.2500 0.5494  1 P 1.53
O: 0.1204 0.7500 0.0787  1 C 1.35
O: 0.1904 0.0600 0.3073  1 P 1.55
O: 0.1904 0.4400 0.3073  1 P 1.55
O: 0.4525 0.7500 0.9258  1 C 1.24
O: 0.4760 0.7500 0.5003  1 P 1.55
O: 0.4778 0.2500 0.8046  1 C 1.31
O: 0.5222 0.7500 0.1954  1 C 1.31
O: 0.5240 0.2500 0.4997  1 P 1.55
O: 0.5475 0.2500 0.0742  1 C 1.24
O: 0.8096 0.5600 0.6927  1 P 1.55
O: 0.8096 0.9400 0.6927  1 P 1.55
O: 0.8796 0.2500 0.9213  1 C 1.35
O: 0.9422 0.7500 0.4506  1 P 1.53

Entry 13:
## Li2TiPCO7 (GGA-PBE)

Data for a geometry-optimized Li2TiPCO7 structure.

Summary:
Formation energy from raw total energies: -49.880 kcal/mol of atoms
Space-group type: P2_1/m (11)
Density of states at the Fermi level: 3.7 states/eV/cell

Cell lengths 5.0732, 6.4048, 8.6711 Å; angles 90.00, 94.09, 90.00 degrees
Last column: nearest neighbours and their distance in Å.
Sites, in units of the cell vectors:
Li: 0.2293 0.0108 0.2873  3 O 2.01-2.24
Li: 0.2293 0.4892 0.2873  3 O 2.01-2.24
Li: 0.7707 0.5108 0.7127  3 O 2.01-2.24
Li: 0.7707 0.9892 0.7127  3 O 2.01-2.24
Ti: 0.2117 0.7500 0.8448  6 O 1.97-2.13
Ti: 0.7883 0.2500 0.1552  6 O 1.97-2.13
P: 0.2805 0.2500 0.9206  4 O 1.55
P: 0.7195 0.7500 0.0794  4 O 1.55
C: 0.2680 0.7500 0.5574  3 O 1.26-1.33
C: 0.7320 0.2500 0.4426  3 O 1.26-1.33
O: 0.0362 0.7500 0.6171  1 C 1.32
O: 0.1718 0.2500 0.0835  1 P 1.55
O: 0.1778 0.0562 0.8278  1 P 1.55
O: 0.1778 0.4438 0.8278  1 P 1.55
O: 0.2945 0.7500 0.4136  1 C 1.26
O: 0.4126 0.7500 0.0622  1 P 1.55
O: 0.4718 0.7500 0.6622  1 C 1.33
O: 0.5282 0.2500 0.3378  1 C 1.33
O: 0.5874 0.2500 0.9378  1 P 1.55
O: 0.7055 0.2500 0.5864  1 C 1.26
O: 0.8222 0.5562 0.1722  1 P 1.55
O: 0.8222 0.9438 0.1722  1 P 1.55
O: 0.8282 0.7500 0.9165  1 P 1.55
O: 0.9638 0.2500 0.3829  1 C 1.32

Entry 14:
## Li3TlPCO7 (GGA-PBE)

Data for a geometry-optimized Li3TlPCO7 structure.

Summary:
Formation energy from raw total energies: -41.436 kcal/mol of atoms
Space-group type: P2_1 (4)
Density of states at the Fermi level: 8.6 states/eV/cell

Cell lengths 5.3454, 6.9691, 8.7408 Å; angles 90.00, 92.05, 90.00 degrees
Last column: nearest neighbours and their distance in Å.
Sites, in units of the cell vectors:
Li: 0.0129 0.0000 0.1805  3 O 2.01-2.04
Li: 0.1086 0.6391 0.4607  3 O 1.98
Li: 0.4327 0.6514 0.9979  4 O 1.92-2.10
Li: 0.5673 0.1514 0.0021  4 O 1.92-2.10
Li: 0.8914 0.1391 0.5393  3 O 1.98
Li: 0.9871 0.5000 0.8195  3 O 2.01-2.04
Tl: 0.4878 0.9056 0.6923  5 O 2.39-2.61
Tl: 0.5122 0.4056 0.3077  5 O 2.39-2.61
P: 0.4814 0.4113 0.7022  4 O 1.55-1.57
P: 0.5186 0.9113 0.2978  4 O 1.55-1.57
C: 0.0080 0.9375 0.8643  3 O 1.28-1.31
C: 0.9920 0.4375 0.1357  3 O 1.28-1.31
O: 0.0423 0.4707 0.2816  1 C 1.31
O: 0.1456 0.4764 0.0309  1 C 1.28
O: 0.2213 0.8566 0.9025  1 C 1.31
O: 0.2243 0.4887 0.6414  1 P 1.55
O: 0.3424 0.8545 0.4305  1 P 1.57
O: 0.3805 0.0706 0.1989  1 P 1.57
O: 0.4446 0.2319 0.8034  1 P 1.55
O: 0.5554 0.7319 0.1966  1 P 1.55
O: 0.6195 0.5706 0.8011  1 P 1.57
O: 0.6576 0.3545 0.5695  1 P 1.57
O: 0.7757 0.9887 0.3586  1 P 1.55
O: 0.7787 0.3566 0.0975  1 C 1.31
O: 0.8544 0.9764 0.9691  1 C 1.28
O: 0.9577 0.9707 0.7184  1 C 1.31

Entry 15:
## Li2TmPCO7 (GGA-PBE)

Data for a geometry-optimized Li2TmPCO7 structure.

Summary:
Formation energy from raw total energies: -55.152 kcal/mol of atoms
Space-group type: P2_1/m (11)
Density of states at the Fermi level: 0.0 states/eV/cell

Cell lengths 4.7730, 6.6676, 9.4008 Å; angles 90.00, 95.94, 90.00 degrees
Last column: nearest neighbours and their distance in Å.
Sites, in units of the cell vectors:
Li: 0.2049 0.0019 0.3244  4 O 2.01-2.22
Li: 0.2049 0.4981 0.3244  4 O 2.01-2.22
Li: 0.7951 0.5019 0.6756  4 O 2.01-2.22
Li: 0.7951 0.9981 0.6756  4 O 2.01-2.22
Tm: 0.2554 0.2500 0.8710  6 O 2.19-2.44
Tm: 0.7446 0.7500 0.1290  6 O 2.19-2.44
P: 0.2612 0.7500 0.8956  4 O 1.54-1.57
P: 0.7388 0.2500 0.1044  4 O 1.54-1.57
C: 0.2688 0.2500 0.5752  3 O 1.27-1.32
C: 0.7312 0.7500 0.4248  3 O 1.27-1.32
O: 0.0248 0.2500 0.6263  1 C 1.30
O: 0.1362 0.5609 0.8185  1 P 1.54
O: 0.1362 0.9391 0.8185  1 P 1.54
O: 0.2072 0.7500 0.0576  1 P 1.57
O: 0.2947 0.2500 0.4416  1 C 1.27
O: 0.4122 0.2500 0.1005  1 P 1.56
O: 0.4898 0.2500 0.6723  1 C 1.32
O: 0.5102 0.7500 0.3277  1 C 1.32
O: 0.5878 0.7500 0.8995  1 P 1.56
O: 0.7053 0.7500 0.5584  1 C 1.27
O: 0.7928 0.2500 0.9424  1 P 1.57
O: 0.8638 0.0609 0.1815  1 P 1.54
O: 0.8638 0.4391 0.1815  1 P 1.54
O: 0.9752 0.7500 0.3737  1 C 1.30